a.
AcPmNi2 | GGA-PBE | optimized geometry

Properties
crystal system	tetragonal
volume	91.36	Å³/f.u.

Cell: 3.589 3.589 7.092 Å, 90.00 90.00 90.00°
Fractional coordinates of all 4 atoms:
Ac: 0.000 0.000 0.000
Pm: 0.000 0.000 0.500
Ni: 0.500 0.500 0.278
Ni: 0.500 0.500 0.722

---

b.
AcPmNi2 | GGA-PBE | optimized geometry

Properties
crystal system	trigonal
volume	99.80	Å³/f.u.

Cell: 4.149 4.149 20.085 Å, 90.00 90.00 120.00°
Fractional coordinates of all 12 atoms:
Ac: 0.000 0.000 0.000
Ac: 0.333 0.667 0.667
Ac: 0.667 0.333 0.333
Pm: 0.000 0.000 0.500
Pm: 0.333 0.667 0.167
Pm: 0.667 0.333 0.833
Ni: 0.000 0.000 0.244
Ni: 0.000 0.000 0.756
Ni: 0.333 0.667 0.422
Ni: 0.333 0.667 0.911
Ni: 0.667 0.333 0.089
Ni: 0.667 0.333 0.578

---

Taking the most stable structure as the zero point, the relative energies in meV per atom are a 0; b 7.

---

a.
AcPmNi4 | GGA-PBE | optimized geometry

Properties
crystal system	cubic
volume	102.32	Å³/f.u.

Cell: 5.250 5.250 5.250 Å, 60.00 60.00 60.00°
Fractional coordinates of all 6 atoms:
Ac: 0.000 0.000 0.000
Pm: 0.250 0.250 0.250
Ni: 0.126 0.625 0.625
Ni: 0.625 0.126 0.625
Ni: 0.625 0.625 0.126
Ni: 0.625 0.625 0.625

---

b.
AcPmNi4 | GGA-PBE | optimized geometry

Properties
crystal system	orthorhombic
volume	117.32	Å³/f.u.

Cell: 4.038 4.093 7.097 Å, 90.00 90.00 90.00°
Fractional coordinates of all 6 atoms:
Ac: 0.000 0.000 0.000
Pm: 0.000 0.500 0.500
Ni: 0.500 0.000 0.338
Ni: 0.500 0.000 0.662
Ni: 0.500 0.500 0.173
Ni: 0.500 0.500 0.827

---

Taking the most stable structure as the zero point, the relative energies in meV per atom are a 41; b 0.

---

a.
AcPmNiPt | GGA-PBE | optimized geometry

Properties
crystal system	cubic
volume	96.87	Å³/f.u.

Cell: 7.290 7.290 7.290 Å, 90.00 90.00 90.00°
Fractional coordinates of all 16 atoms:
Ac: 0.000 0.000 0.000
Ac: 0.000 0.500 0.500
Ac: 0.500 0.000 0.500
Ac: 0.500 0.500 0.000
Pm: 0.000 0.000 0.500
Pm: 0.000 0.500 0.000
Pm: 0.500 0.000 0.000
Pm: 0.500 0.500 0.500
Ni: 0.250 0.250 0.750
Ni: 0.250 0.750 0.250
Ni: 0.750 0.250 0.250
Ni: 0.750 0.750 0.750
Pt: 0.250 0.250 0.250
Pt: 0.250 0.750 0.750
Pt: 0.750 0.250 0.750
Pt: 0.750 0.750 0.250

---

b.
AcPmNiPt | GGA-PBE | optimized geometry

Properties
crystal system	orthorhombic
volume	99.61	Å³/f.u.

Cell: 4.539 4.033 10.886 Å, 90.00 90.00 90.00°
Fractional coordinates of all 8 atoms:
Ac: 0.000 0.000 0.000
Ac: 0.000 0.500 0.500
Pm: 0.500 0.000 0.275
Pm: 0.500 0.500 0.775
Ni: 0.000 0.000 0.723
Ni: 0.000 0.500 0.223
Pt: 0.500 0.000 0.565
Pt: 0.500 0.500 0.065

---

Taking the most stable structure as the zero point, the relative energies in meV per atom are a 134; b 0.

---

a.
AcPrNi2 | GGA-PBE | optimized geometry

Properties
crystal system	cubic
volume	93.47	Å³/f.u.

Cell: 7.204 7.204 7.204 Å, 90.00 90.00 90.00°
Fractional coordinates of all 16 atoms:
Ac: 0.000 0.000 0.000
Ac: 0.000 0.500 0.500
Ac: 0.500 0.000 0.500
Ac: 0.500 0.500 0.000
Pr: 0.000 0.000 0.500
Pr: 0.000 0.500 0.000
Pr: 0.500 0.000 0.000
Pr: 0.500 0.500 0.500
Ni: 0.250 0.250 0.250
Ni: 0.250 0.250 0.750
Ni: 0.250 0.750 0.250
Ni: 0.250 0.750 0.750
Ni: 0.750 0.250 0.250
Ni: 0.750 0.250 0.750
Ni: 0.750 0.750 0.250
Ni: 0.750 0.750 0.750

---

b.
AcPrNi2 | GGA-PBE | optimized geometry

Properties
crystal system	trigonal
volume	103.15	Å³/f.u.

Cell: 4.118 4.118 21.067 Å, 90.00 90.00 120.00°
Fractional coordinates of all 12 atoms:
Ac: 0.000 0.000 0.000
Ac: 0.333 0.667 0.667
Ac: 0.667 0.333 0.333
Pr: 0.000 0.000 0.827
Pr: 0.333 0.667 0.493
Pr: 0.667 0.333 0.160
Ni: 0.000 0.000 0.419
Ni: 0.000 0.000 0.572
Ni: 0.333 0.667 0.086
Ni: 0.333 0.667 0.239
Ni: 0.667 0.333 0.752
Ni: 0.667 0.333 0.905

---

c.
AcPrNi2 | GGA-PBE | optimized geometry

Properties
crystal system	monoclinic
volume	95.90	Å³/f.u.

Cell: 3.955 4.384 5.870 Å, 90.00 109.57 90.00°
Fractional coordinates of all 4 atoms:
Ac: 0.000 0.000 0.000
Pr: 0.272 0.500 0.544
Ni: 0.572 0.500 0.145
Ni: 0.711 0.000 0.422

---

Taking the most stable structure as the zero point, the relative energies in meV per atom are a 125; b 157; c 0.

---

a.
AcPrNi2 | GGA-PBE | optimized geometry

Properties
crystal system	tetragonal
volume	93.47	Å³/f.u.

Cell: 3.615 3.615 7.151 Å, 90.00 90.00 90.00°
Fractional coordinates of all 4 atoms:
Ac: 0.000 0.000 0.000
Pr: 0.000 0.000 0.500
Ni: 0.500 0.500 0.272
Ni: 0.500 0.500 0.728

---

b.
AcPrNi2 | GGA-PBE | optimized geometry

Properties
crystal system	trigonal
volume	102.08	Å³/f.u.

Cell: 4.170 4.170 20.337 Å, 90.00 90.00 120.00°
Fractional coordinates of all 12 atoms:
Ac: 0.000 0.000 0.000
Ac: 0.333 0.667 0.667
Ac: 0.667 0.333 0.333
Pr: 0.000 0.000 0.500
Pr: 0.333 0.667 0.167
Pr: 0.667 0.333 0.833
Ni: 0.000 0.000 0.246
Ni: 0.000 0.000 0.754
Ni: 0.333 0.667 0.420
Ni: 0.333 0.667 0.913
Ni: 0.667 0.333 0.087
Ni: 0.667 0.333 0.580

---

Taking the most stable structure as the zero point, the relative energies in meV per atom are a 7; b 0.

---

a.
AcPrNi | GGA-PBE | optimized geometry

Properties
crystal system	monoclinic
volume	90.53	Å³/f.u.

Cell: 6.648 9.146 6.151 Å, 90.00 104.47 90.00°
Fractional coordinates of all 12 atoms:
Ac: 0.198 0.147 0.049
Ac: 0.198 0.353 0.549
Ac: 0.802 0.647 0.451
Ac: 0.802 0.853 0.951
Pr: 0.286 0.612 0.071
Pr: 0.286 0.888 0.571
Pr: 0.714 0.112 0.429
Pr: 0.714 0.388 0.929
Ni: 0.457 0.603 0.656
Ni: 0.457 0.897 0.156
Ni: 0.543 0.103 0.844
Ni: 0.543 0.397 0.344

---

b.
AcPrNi | GGA-PBE | optimized geometry

Properties
crystal system	trigonal
volume	97.91	Å³/f.u.

Cell: 4.118 4.118 6.669 Å, 90.00 90.00 120.00°
Fractional coordinates of all 3 atoms:
Ac: 0.000 0.000 0.000
Pr: 0.667 0.333 0.512
Ni: 0.333 0.667 0.744

---

c.
AcPrNi | GGA-PBE | optimized geometry

Properties
crystal system	triclinic
volume	89.61	Å³/f.u.

Cell: 3.910 6.835 7.350 Å, 94.16 105.42 106.54°
Fractional coordinates of all 6 atoms:
Ac: 0.086 0.258 0.414
Ac: 0.914 0.742 0.586
Pr: 0.191 0.772 0.109
Pr: 0.809 0.228 0.891
Ni: 0.447 0.562 0.830
Ni: 0.553 0.438 0.170

---

Taking the most stable structure as the zero point, the relative energies in meV per atom are a 67; b 50; c 0.

---

a.
AcPrNi | GGA-PBE | optimized geometry

Properties
crystal system	tetragonal
volume	89.17	Å³/f.u.

Cell: 3.663 3.663 13.293 Å, 90.00 90.00 90.00°
Fractional coordinates of all 6 atoms:
Ac: 0.000 0.000 0.000
Ac: 0.500 0.500 0.500
Pr: 0.000 0.000 0.743
Pr: 0.500 0.500 0.243
Ni: 0.000 0.000 0.360
Ni: 0.500 0.500 0.860

---

b.
AcPrNi | GGA-PBE | optimized geometry

Properties
crystal system	orthorhombic
volume	90.57	Å³/f.u.

Cell: 3.922 7.342 12.582 Å, 90.00 90.00 90.00°
Fractional coordinates of all 12 atoms:
Ac: 0.000 0.000 0.224
Ac: 0.000 0.000 0.776
Ac: 0.500 0.500 0.276
Ac: 0.500 0.500 0.724
Pr: 0.000 0.239 0.500
Pr: 0.000 0.761 0.500
Pr: 0.500 0.261 0.000
Pr: 0.500 0.739 0.000
Ni: 0.000 0.500 0.103
Ni: 0.000 0.500 0.897
Ni: 0.500 0.000 0.397
Ni: 0.500 0.000 0.603

---

Taking the most stable structure as the zero point, the relative energies in meV per atom are a 114; b 0.

---

a.
AcPr3Ni | GGA-PBE | optimized geometry

Properties
crystal system	monoclinic
volume	164.43	Å³/f.u.

Cell: 7.212 7.212 12.108 Å, 92.54 92.54 31.51°
Fractional coordinates of all 10 atoms:
Ac: 0.166 0.166 0.095
Ac: 0.834 0.834 0.905
Pr: 0.059 0.059 0.373
Pr: 0.214 0.214 0.636
Pr: 0.435 0.435 0.157
Pr: 0.565 0.565 0.843
Pr: 0.786 0.786 0.364
Pr: 0.941 0.941 0.627
Ni: 0.417 0.417 0.447
Ni: 0.583 0.583 0.553

---

b.
AcPr3Ni | GGA-PBE | optimized geometry

Properties
crystal system	hexagonal
volume	168.80	Å³/f.u.

Cell: 7.880 7.880 6.277 Å, 90.00 90.00 120.00°
Fractional coordinates of all 10 atoms:
Ac: 0.333 0.667 0.250
Ac: 0.667 0.333 0.750
Pr: 0.173 0.346 0.750
Pr: 0.173 0.827 0.750
Pr: 0.346 0.173 0.250
Pr: 0.654 0.827 0.750
Pr: 0.827 0.173 0.250
Pr: 0.827 0.654 0.250
Ni: 0.000 0.000 0.000
Ni: 0.000 0.000 0.500

---

c.
AcPr3Ni | GGA-PBE | optimized geometry

Properties
crystal system	cubic
volume	176.81	Å³/f.u.

Cell: 5.613 5.613 5.613 Å, 90.00 90.00 90.00°
Fractional coordinates of all 5 atoms:
Ac: 0.000 0.000 0.000
Pr: 0.000 0.500 0.500
Pr: 0.500 0.000 0.500
Pr: 0.500 0.500 0.000
Ni: 0.500 0.500 0.500

---

Taking the most stable structure as the zero point, the relative energies in meV per atom are a 0; b 56; c 92.